RbYAs2O6 | PBE-GGA | optimized geometry

- electronic total energy (Ry/atom) = -0.472
- raw formation energy (eV per atom) = -1.77

Unit cell a=5.8639 b=5.8639 c=18.6076 alpha=90.00 beta=90.00 gamma=120.00
Closest atoms and distances in Å follow each position.
Space group R-3 (No. 148, hexagonal axes)
Unique sites:
Rb (0.0000, 0.0000, 0.0000) x3  6 O 3.03
Y (0.0000, 0.0000, 0.5000) x3  6 O 2.28
As (0.0000, 0.0000, 0.2631) x6  3 O 1.73
O (0.0237, 0.5999, 0.9023) x18  1 As 1.73